Density functional theory data (PBE-GGA) for a relaxed NbFePt14 crystal.

abc: 5.6331 5.6331 7.8656
angles: 90.00 90.00 90.00
Space group P4/mmm (No. 123)
Inequivalent atoms, fractional coordinates:
Nb 0.0000 0.0000 0.0000 [1 per cell]
Fe 0.5000 0.5000 0.0000 [1 per cell]
Pt 0.0000 0.0000 0.5000 [1 per cell]
Pt 0.0000 0.5000 0.0000 [2 per cell]
Pt 0.0000 0.5000 0.5000 [2 per cell]
Pt 0.2510 0.2510 0.2429 [8 per cell]
Pt 0.5000 0.5000 0.5000 [1 per cell]

Properties
The formation energy comes out at -0.250 eV/atom.

Density functional theory data (PBE-GGA) for a relaxed Pu3Ni2Sb4 crystal.

abc: 14.3865 4.5057 8.4930
angles: 90.00 122.46 90.00
Space group C2/m (No. 12)
Inequivalent atoms, fractional coordinates:
Pu 0.0000 0.0000 0.0000 [2 per cell]
Pu 0.1508 0.5000 0.7250 [4 per cell]
Ni 0.0356 0.5000 0.2510 [4 per cell]
Sb 0.0705 0.0000 0.4193 [4 per cell]
Sb 0.1666 0.5000 0.1100 [4 per cell]

Properties
The calculation puts the uncorrected formation energy at -406.6 meV/atom. The value obtained for the energy above the most stable polymorph in this dataset is 75.7 meV/atom.

Density functional theory data (PBE-GGA) for a relaxed ThGa8Ir4 crystal.

abc: 8.7857 8.7857 5.5802
angles: 90.00 90.00 90.00
Space group I4/mmm (No. 139)
Inequivalent atoms, fractional coordinates:
Th 0.0000 0.0000 0.0000 [2 per cell]
Ga 0.0000 0.2156 0.5000 [8 per cell]
Ga 0.0000 0.3519 0.0000 [8 per cell]
Ir 0.2500 0.2500 0.2500 [8 per cell]

Properties
The formation energy comes out at -0.451 eV/atom.

Density functional theory data (PBE-GGA) for a relaxed BeP3 crystal.

abc: 6.6171 6.6171 5.8245
angles: 90.00 90.00 120.00
Space group P6_3/mmc (No. 194)
Inequivalent atoms, fractional coordinates:
Be 0.0000 0.0000 0.0000 [2 per cell]
Be 0.3333 0.6667 0.2500 [2 per cell]
P 0.0000 0.5000 0.0000 [6 per cell]
P 0.1630 0.3261 0.7500 [6 per cell]

Properties
The formation energy comes out at 0.264 eV/atom. The value obtained for the energy above the most stable polymorph in this dataset is 414.9 meV/atom.